Density functional theory data (PBE) for a geometry-optimized FeCo2Tc structure.

## Properties
* calculated volume: 11.8 Å³/atom
* ΔE_f: 0.108 eV per atom

a = 2.5892 Å, b = 3.5585 Å, c = 5.1215 Å
α = 90.00°, β = 90.09°, γ = 90.00°
Closest atoms and distances in Å follow each position.
Sites, in units of the cell vectors:
Fe1 0.0000 0.0000 0.0000  6 Co 2.44-2.68, 2 Fe 2.59, 4 Tc 2.60
Co1 0.0006 0.0000 0.4759  2 Fe 2.44-2.68, 6 Co 2.52-2.59, 4 Tc 2.56
Co2 0.5005 0.5000 0.2356  4 Fe 2.51, 6 Co 2.52-2.59, 2 Tc 2.53-2.59
Tc1 0.5005 0.5000 0.7303  6 Co 2.53-2.59, 2 Tc 2.59, 4 Fe 2.60